Entry 1:
A plane-wave DFT calculation with PBE-GGA was carried out for a relaxed CeSm4Th crystal.

Properties
Space-group type: C2/m, No. 12
ΔE_f, eV/f.u.: 0.504
Spin magnetization, μB/cell: 2.320

The structure in POSCAR format:
```
CeSm4Th
1.0
-9.119 -2.456 5.252
3.072 0.183 5.420
-0.205 5.774 2.343
Sm Th Ce
8 2 2
direct
0.663 0.500 0.500 Sm
0.165 0.000 0.500 Sm
0.335 0.000 0.000 Sm
0.163 0.500 0.000 Sm
0.835 0.000 0.500 Sm
0.337 0.500 0.500 Sm
0.837 0.500 0.000 Sm
0.665 0.000 0.000 Sm
0.000 0.000 0.000 Th
0.500 0.000 0.500 Th
0.000 0.500 0.500 Ce
0.500 0.500 0.000 Ce
```

Entry 2:
A plane-wave DFT calculation with PBE-GGA was carried out for a relaxed Be2CrFe crystal.

Properties
ΔE to the lowest computed polymorph, meV/atom: 96.3
Space-group type: Cmmm, No. 65
ΔE_f, eV/f.u.: -0.200
Spin magnetization, μB/cell: 2.122

The structure in POSCAR format:
```
Be2CrFe
1.0
-0.488 -0.688 2.227
-1.121 -1.798 -1.086
5.831 -3.713 0.129
Cr Be Fe
1 2 1
direct
0.500 0.500 0.250 Cr
0.000 0.000 0.507 Be
0.000 0.000 0.993 Be
0.500 0.500 0.750 Fe
```

Entry 3:
A plane-wave DFT calculation with PBE-GGA was carried out for a relaxed Ba2As3Pd4Pt crystal.

Properties
Space-group type: P-4m2, No. 115
ΔE_f, eV/f.u.: -6.448
Spin magnetization, μB/cell: 0.000

The structure in POSCAR format:
```
Ba2As3Pd4Pt
1.0
4.551 0.000 0.000
0.000 4.551 0.000
0.000 0.000 10.399
Pd As Ba Pt
4 3 2 1
direct
0.500 0.500 0.000 Pd
0.000 0.000 0.000 Pd
0.500 0.000 0.635 Pd
0.000 0.500 0.365 Pd
0.000 0.000 0.500 As
0.500 0.000 0.879 As
0.000 0.500 0.121 As
0.500 0.000 0.257 Ba
0.000 0.500 0.743 Ba
0.500 0.500 0.500 Pt
```

Entry 4:
A plane-wave DFT calculation with PBE-GGA was carried out for a relaxed Rb4Th3NpTe8 crystal.

Properties
Space-group type: R-3m, No. 166
Uncorrected formation energy, eV per atom: -1.0959
Spin magnetization, μB/cell: 5.164

The structure in POSCAR format:
```
Rb4Th3NpTe8
1.0
-8.740 -2.372 -0.538
2.725 -9.427 -2.710
3.387 3.094 7.827
Te Th Rb Np
8 3 4 1
direct
0.265 0.292 0.028 Te
0.737 0.710 0.473 Te
0.735 0.708 0.972 Te
0.764 0.292 0.028 Te
0.764 0.292 0.528 Te
0.236 0.708 0.472 Te
0.263 0.290 0.527 Te
0.236 0.708 0.972 Te
0.000 0.500 0.500 Th
0.500 0.500 0.500 Th
0.500 0.500 0.000 Th
0.500 0.000 0.000 Rb
0.000 0.000 0.500 Rb
0.500 0.000 0.500 Rb
0.000 0.000 0.000 Rb
0.000 0.500 0.000 Np
```

Entry 5:
A plane-wave DFT calculation with PBE-GGA was carried out for a relaxed MgTiMn4 crystal.

Properties
Space-group type: F-43m, No. 216
ΔE_f, eV/f.u.: -0.175
Spin magnetization, μB/cell: 1.173

The structure in POSCAR format:
```
MgTiMn4
1.0
-0.641 -4.677 0.726
1.962 -3.171 -2.985
3.650 -2.713 1.459
Ti Mg Mn
1 1 4
direct
0.250 0.250 0.250 Ti
0.000 0.000 0.000 Mg
0.125 0.625 0.625 Mn
0.625 0.125 0.625 Mn
0.625 0.625 0.625 Mn
0.625 0.625 0.125 Mn
```

Entry 6:
A plane-wave DFT calculation with PBE-GGA was carried out for a relaxed ZnCoHgPb2 crystal.

Properties
Space-group type: P4/mmm, No. 123
ΔE_f, eV/f.u.: 0.849
Spin magnetization, μB/cell: 0.000

The structure in POSCAR format:
```
ZnCoHgPb2
1.0
-2.370 -3.548 2.711
2.337 -3.601 -2.669
3.610 0.002 3.158
Hg Pb Zn Co
1 2 1 1
direct
0.500 0.500 0.500 Hg
0.000 0.500 0.000 Pb
0.500 0.000 0.000 Pb
0.000 0.000 0.500 Zn
0.000 0.000 0.000 Co
```

Entry 7:
A plane-wave DFT calculation with PBE-GGA was carried out for a relaxed InPbS crystal.

Properties
ΔE to the lowest computed polymorph, meV/atom: 0.0
Space-group type: P3m1, No. 156
Uncorrected formation energy, eV per atom: -0.2316
Spin magnetization, μB/cell: 0.000

The structure in POSCAR format:
```
InPbS
1.0
-1.976 -0.658 -3.151
3.542 -1.276 0.310
-2.221 -5.546 2.550
S Pb In
1 1 1
direct
0.333 0.667 0.641 S
0.000 0.000 0.969 Pb
0.667 0.333 0.390 In
```

Entry 8:
A plane-wave DFT calculation with PBE-GGA was carried out for a relaxed Sc2AlHgH crystal.

Properties
Space-group type: P4/mmm, No. 123
Electronic total energy, eV for the cell shown: -21.62
Spin magnetization, μB/cell: 1.141

The structure in POSCAR format:
```
Sc2AlHgH
1.0
-1.096 0.251 4.220
-3.621 -2.305 -0.804
2.158 -3.661 0.779
Hg H Sc Al
1 1 2 1
direct
0.500 0.500 0.500 Hg
0.000 0.000 0.000 H
0.500 0.000 0.000 Sc
0.000 0.500 0.000 Sc
0.000 0.000 0.500 Al
```

What is the formula in the sixth record?
ZnCoHgPb2

Repeat the second record exactly.
A plane-wave DFT calculation with PBE-GGA was carried out for a relaxed Be2CrFe crystal.

Properties
ΔE to the lowest computed polymorph, meV/atom: 96.3
Space-group type: Cmmm, No. 65
ΔE_f, eV/f.u.: -0.200
Spin magnetization, μB/cell: 2.122

The structure in POSCAR format:
```
Be2CrFe
1.0
-0.488 -0.688 2.227
-1.121 -1.798 -1.086
5.831 -3.713 0.129
Cr Be Fe
1 2 1
direct
0.500 0.500 0.250 Cr
0.000 0.000 0.507 Be
0.000 0.000 0.993 Be
0.500 0.500 0.750 Fe
```